# Ce6PuOs4, relaxed, DFT PBE
data_Ce6PuOs4
_space_group_name_H-M_alt 'P 1'
_space_group_IT_number 1
_space_group_name_Hall 'P 1'
_cell_length_a 7.325
_cell_length_b 7.325
_cell_length_c 7.325
_cell_angle_alpha 90.45
_cell_angle_beta 119.74
_cell_angle_gamma 119.74
loop_
_atom_site_label
_atom_site_fract_x
_atom_site_fract_y
_atom_site_fract_z
Ce1 0.000 0.874 0.551
Ce2 0.000 0.551 0.874
Ce3 0.677 0.126 0.126
Ce4 0.500 0.000 0.500
Ce5 0.323 0.449 0.449
Ce6 0.500 0.500 0.000
Pu1 0.000 0.000 0.000
Os1 0.000 0.235 0.636
Os2 0.599 0.364 0.364
Os3 0.000 0.636 0.235
Os4 0.401 0.765 0.765
# Electronic total energy in eV per cell: -95.0
# Total magnetic moment in μB/f.u.: 7.162
# Theoretical density in g cm⁻³: 10.99
# Symmetry: I-42m
# Energy relative to the elements in eV/atom: -0.01

***

# TcOs2Au, relaxed, DFT PBE
data_TcOs2Au
_space_group_name_H-M_alt 'P 1'
_space_group_IT_number 1
_space_group_name_Hall 'P 1'
_cell_length_a 5.626
_cell_length_b 5.626
_cell_length_c 5.626
_cell_angle_alpha 151.65
_cell_angle_beta 131.04
_cell_angle_gamma 57.54
loop_
_atom_site_label
_atom_site_fract_x
_atom_site_fract_y
_atom_site_fract_z
Au1 0.750 0.250 0.500
Os1 0.028 0.028 0.000
Os2 0.472 0.472 0.000
Tc1 0.250 0.750 0.500
# Electronic total energy in eV per cell: -33.8
# Total magnetic moment in μB/f.u.: 0.000
# Theoretical density in g cm⁻³: 17.70
# Symmetry: Immm
# Energy relative to the elements in eV/atom: 0.57